a.
This record from OQMD describes an optimized crystal structure of LaPt3C. The functional is PBE.

a = 4.4057 Å, b = 4.4057 Å, c = 4.4057 Å
α = 90.00°, β = 90.00°, γ = 90.00°
Last column: nearest neighbours and their distance in Å.
Space group Pm-3m (No. 221)
Unique sites:
1 La 0.0000 0.0000 0.0000  12 Pt 3.12
2 Pt 0.0000 0.5000 0.5000  2 C 2.20
3 C 0.5000 0.5000 0.5000  6 Pt 2.20

Magnetic moment in μB per cell: 0.1


b.
This record from OQMD describes an optimized crystal structure of LaPt3C. The functional is PBE.

a = 4.0173 Å, b = 4.0173 Å, c = 5.1955 Å
α = 90.00°, β = 90.00°, γ = 90.00°
Last column: nearest neighbours and their distance in Å.
Space group P4mm (No. 99)
Unique sites:
1 La 0.0000 0.0000 0.0000  8 Pt 2.91-3.19, 4 C 3.20
2 Pt 0.0000 0.5000 0.5238  2 C 2.24
3 Pt 0.5000 0.5000 0.1190  1 C 2.09
4 C 0.5000 0.5000 0.7163  5 Pt 2.09-2.24

Magnetic moment in μB per cell: 0.0


Most stable structure - b; separation to the second - 0.152 eV/atom.


a.
This record from OQMD describes an optimized crystal structure of LiNi3C. The functional is PBE.

a = 3.7587 Å, b = 3.7587 Å, c = 3.7587 Å
α = 90.00°, β = 90.00°, γ = 90.00°
Last column: nearest neighbours and their distance in Å.
Space group Pm-3m (No. 221)
Unique sites:
1 Li 0.0000 0.0000 0.0000  12 Ni 2.66
2 Ni 0.0000 0.5000 0.5000  2 C 1.88
3 C 0.5000 0.5000 0.5000  6 Ni 1.88

Magnetic moment in μB per cell: 0.7


b.
This record from OQMD describes an optimized crystal structure of LiNi3C. The functional is PBE.

a = 4.8627 Å, b = 8.6302 Å, c = 4.8719 Å
α = 90.00°, β = 90.00°, γ = 90.00°
Last column: nearest neighbours and their distance in Å.
Space group Cmc2_1 (No. 36)
Unique sites:
1 Li 0.0000 0.0400 0.0000  2 Li 2.53, 10 Ni 2.56-2.80, 2 C 2.65
2 Ni 0.0000 0.4582 0.7857  2 C 1.91-1.93
3 Ni 0.2458 0.2889 0.1435  2 C 1.92-1.96
4 C 0.0000 0.3409 0.4484  6 Ni 1.91-1.96

Magnetic moment in μB per cell: 0.0


Most stable structure - b; separation to the second - 0.022 eV/atom.


a.
This record from OQMD describes an optimized crystal structure of LuNiSnC. The functional is PBE.

a = 4.2879 Å, b = 4.2879 Å, c = 7.7710 Å
α = 90.00°, β = 90.00°, γ = 120.00°
Last column: nearest neighbours and their distance in Å.
Space group P-3m1 (No. 164)
Unique sites:
1 Lu 0.3333 0.6667 0.2109  4 C 2.52-2.79
2 Ni 0.3333 0.6667 0.6049  1 C 1.92
3 Sn 0.0000 0.0000 0.0000  6 C 2.73, 6 Lu 2.97
4 Sn 0.0000 0.0000 0.5000  6 Ni 2.61
5 C 0.3333 0.6667 0.8519  1 Ni 1.92

Magnetic moment in μB per cell: 0.0


b.
This record from OQMD describes an optimized crystal structure of LuNiSnC. The functional is PBE.

a = 4.6206 Å, b = 4.6206 Å, c = 7.0677 Å
α = 90.00°, β = 90.00°, γ = 120.00°
Last column: nearest neighbours and their distance in Å.
Space group P6_3mc (No. 186)
Unique sites:
1 Lu 0.3333 0.6667 0.0000  1 C 2.37
2 Ni 0.3333 0.6667 0.4082  1 C 1.81
3 Sn 0.0000 0.0000 0.2673  3 C 2.76, 3 Ni 2.85
4 C 0.3333 0.6667 0.6648  1 Ni 1.81

Magnetic moment in μB per cell: 0.0


Most stable structure - a; separation to the second - 0.167 eV/atom.


a.
This record from OQMD describes an optimized crystal structure of Mo2CS. The functional is PBE.

a = 9.9345 Å, b = 5.6166 Å, c = 11.7235 Å
α = 90.00°, β = 104.32°, γ = 90.00°
Last column: nearest neighbours and their distance in Å.
Space group C2/c (No. 15)
Unique sites:
1 Mo 0.0318 0.0694 0.3978  3 C 2.23-2.43
2 Mo 0.1094 0.3855 0.5878  3 C 2.07-2.20
3 Mo 0.2434 0.4354 0.9120  3 C 2.04-2.21
4 C 0.0904 0.2702 0.9954  6 Mo 2.09-2.25
5 C 0.2500 0.2500 0.5000  4 Mo 2.04-2.07
6 S 0.0000 0.4184 0.2500  6 Mo 2.58-2.80
7 S 0.1721 0.0898 0.7548  6 Mo 2.47-2.73

Magnetic moment in μB per cell: 0.0


b.
This record from OQMD describes an optimized crystal structure of Mo2CS. The functional is PBE.

a = 3.3321 Å, b = 3.3321 Å, c = 11.0636 Å
α = 90.00°, β = 90.00°, γ = 120.00°
Last column: nearest neighbours and their distance in Å.
Space group P6_3/mmc (No. 194)
Unique sites:
1 Mo 0.3333 0.6667 0.0875  3 C 2.15
2 C 0.0000 0.0000 0.0000  6 Mo 2.15
3 S 0.3333 0.6667 0.7500  6 Mo 2.63

Magnetic moment in μB per cell: 0.3


Most stable structure - a; separation to the second - 0.025 eV/atom.


a.
This record from OQMD describes an optimized crystal structure of ZnMo2C. The functional is PBE.

a = 9.1120 Å, b = 5.2598 Å, c = 14.0082 Å
α = 90.00°, β = 102.64°, γ = 90.00°
Last column: nearest neighbours and their distance in Å.
Space group C2/c (No. 15)
Unique sites:
1 Zn 0.0000 0.0610 0.2500  4 Zn 2.63-2.64, 4 Mo 2.73-2.74
2 Zn 0.2374 0.3465 0.2496  4 Zn 2.63-2.64, 4 Mo 2.73-2.74
3 Mo 0.0532 0.4167 0.9101  3 C 2.10-2.14
4 Mo 0.1120 0.0827 0.0840  3 C 2.09-2.13
5 Mo 0.2213 0.0836 0.4160  3 C 2.10-2.13
6 C 0.0803 0.2587 0.5000  6 Mo 2.10-2.13
7 C 0.2500 0.2500 0.0000  6 Mo 2.09-2.14

Magnetic moment in μB per cell: 0.0


b.
This record from OQMD describes an optimized crystal structure of ZnMo2C. The functional is PBE.

a = 3.0300 Å, b = 3.0300 Å, c = 13.5049 Å
α = 90.00°, β = 90.00°, γ = 120.00°
Last column: nearest neighbours and their distance in Å.
Space group P6_3/mmc (No. 194)
Unique sites:
1 Zn 0.3333 0.6667 0.2500  6 Mo 2.80, 6 Zn 3.03
2 Mo 0.3333 0.6667 0.5878  3 C 2.11
3 C 0.0000 0.0000 0.0000  6 Mo 2.11

Magnetic moment in μB per cell: 0.0


Most stable structure - b; separation to the second - 0.042 eV/atom.


a.
This record from OQMD describes an optimized crystal structure of TbNbCS. The functional is PBE.

a = 3.4466 Å, b = 3.4466 Å, c = 12.4339 Å
α = 90.00°, β = 90.00°, γ = 120.00°
Last column: nearest neighbours and their distance in Å.
Space group P-6m2 (No. 187)
Unique sites:
1 Tb 0.0000 0.0000 0.1568  3 C 2.47
2 Nb 0.6667 0.3333 0.3627  3 C 2.27
3 C 0.3333 0.6667 0.2741  3 Nb 2.27, 3 Tb 2.47
4 S 0.0000 0.0000 0.5000  6 Nb 2.62
5 S 0.6667 0.3333 0.0000  6 Tb 2.79

Magnetic moment in μB per cell: 0.0


b.
This record from OQMD describes an optimized crystal structure of TbNbCS. The functional is PBE.

a = 3.5073 Å, b = 3.5073 Å, c = 12.3262 Å
α = 90.00°, β = 90.00°, γ = 120.00°
Last column: nearest neighbours and their distance in Å.
Space group P-3m1 (No. 164)
Unique sites:
1 Tb 0.3333 0.6667 0.1119  3 C 2.45
2 Nb 0.3333 0.6667 0.4161  3 C 2.27
3 C 0.0000 0.0000 0.0000  6 Tb 2.45
4 C 0.0000 0.0000 0.5000  6 Nb 2.27
5 S 0.3333 0.6667 0.7235  3 Nb 2.66, 3 Tb 2.87

Magnetic moment in μB per cell: 0.0


Most stable structure - a; separation to the second - 0.038 eV/atom.


a.
This record from OQMD describes an optimized crystal structure of TaNbC2. The functional is PBE.

a = 3.1004 Å, b = 3.1270 Å, c = 10.2191 Å
α = 90.00°, β = 90.00°, γ = 90.00°
Last column: nearest neighbours and their distance in Å.
Space group Amm2 (No. 38)
Unique sites:
1 Ta 0.0000 0.0000 0.0000  5 C 2.16-2.20
2 Nb 0.5000 0.0000 0.7097  5 C 2.20-2.24
3 C 0.0000 0.0000 0.2115  1 Ta 2.16, 4 Nb 2.20
4 C 0.5000 0.0000 0.4905  4 Ta 2.20, 1 Nb 2.24

Magnetic moment in μB per cell: 0.0


b.
This record from OQMD describes an optimized crystal structure of TaNbC2. The functional is PBE.

a = 3.1758 Å, b = 3.1758 Å, c = 4.4850 Å
α = 90.00°, β = 90.00°, γ = 90.00°
Last column: nearest neighbours and their distance in Å.
Space group P4/mmm (No. 123)
Unique sites:
1 Ta 0.0000 0.0000 0.0000  6 C 2.24-2.25
2 Nb 0.5000 0.5000 0.5000  6 C 2.24-2.25
3 C 0.0000 0.0000 0.5000  2 Ta 2.24, 4 Nb 2.25
4 C 0.5000 0.5000 0.0000  2 Nb 2.24, 4 Ta 2.25

Magnetic moment in μB per cell: 0.0


Most stable structure - b; separation to the second - 0.344 eV/atom.


a.
This record from OQMD describes an optimized crystal structure of TmNbTeC. The functional is PBE.

a = 3.5265 Å, b = 3.5265 Å, c = 13.5269 Å
α = 90.00°, β = 90.00°, γ = 120.00°
Last column: nearest neighbours and their distance in Å.
Space group P-6m2 (No. 187)
Unique sites:
1 Tm 0.0000 0.0000 0.1702  3 C 2.43
2 Nb 0.6667 0.3333 0.3461  3 C 2.29
3 Te 0.0000 0.0000 0.5000  6 Nb 2.91
4 Te 0.6667 0.3333 0.0000  6 Tm 3.07
5 C 0.3333 0.6667 0.2683  3 Nb 2.29, 3 Tm 2.43

Magnetic moment in μB per cell: 0.0


b.
This record from OQMD describes an optimized crystal structure of TmNbTeC. The functional is PBE.

a = 3.5797 Å, b = 3.5797 Å, c = 13.3791 Å
α = 90.00°, β = 90.00°, γ = 120.00°
Last column: nearest neighbours and their distance in Å.
Space group P-3m1 (No. 164)
Unique sites:
1 Tm 0.3333 0.6667 0.0968  3 C 2.44
2 Nb 0.3333 0.6667 0.4248  3 C 2.30
3 Te 0.3333 0.6667 0.7289  3 Nb 2.91, 3 Tm 3.12
4 C 0.0000 0.0000 0.0000  6 Tm 2.44
5 C 0.0000 0.0000 0.5000  6 Nb 2.30

Magnetic moment in μB per cell: 0.0


Most stable structure - b; separation to the second - 0.024 eV/atom.


a.
This record from OQMD describes an optimized crystal structure of NdC. The functional is PBE.

a = 5.3247 Å, b = 5.3247 Å, c = 5.3247 Å
α = 90.00°, β = 90.00°, γ = 90.00°
Last column: nearest neighbours and their distance in Å.
Space group Fm-3m (No. 225)
Unique sites:
1 Nd 0.0000 0.0000 0.0000  6 C 2.66
2 C 0.0000 0.0000 0.5000  6 Nd 2.66

Magnetic moment in μB per cell: 0.0


b.
This record from OQMD describes an optimized crystal structure of NdC. The functional is PBE.

a = 5.6504 Å, b = 5.6504 Å, c = 5.6504 Å
α = 90.00°, β = 90.00°, γ = 90.00°
Last column: nearest neighbours and their distance in Å.
Space group F-43m (No. 216)
Unique sites:
1 Nd 0.0000 0.0000 0.0000  4 C 2.45
2 C 0.2500 0.2500 0.2500  4 Nd 2.45

Magnetic moment in μB per cell: 0.0


Most stable structure - a; separation to the second - 0.267 eV/atom.


a.
This record from OQMD describes an optimized crystal structure of Ni2C. The functional is PBE.

a = 6.3881 Å, b = 6.3881 Å, c = 6.3881 Å
α = 90.00°, β = 90.00°, γ = 90.00°
Last column: nearest neighbours and their distance in Å.
Space group Fd-3m (No. 227, origin choice 2)
Unique sites:
1 Ni 0.0000 0.0000 0.0000  6 Ni 2.26
2 C 0.1250 0.1250 0.6250  12 Ni 2.65, 4 C 2.77

Magnetic moment in μB per cell: 0.0


b.
This record from OQMD describes an optimized crystal structure of Ni2C. The functional is PBE.

a = 9.7628 Å, b = 2.9115 Å, c = 4.0653 Å
α = 90.00°, β = 90.00°, γ = 90.00°
Last column: nearest neighbours and their distance in Å.
Space group Pnma (No. 62)
Unique sites:
1 Ni 0.0400 0.2500 0.2375  3 C 1.93-1.94
2 Ni 0.2085 0.2500 0.7672  3 C 1.90-1.91
3 C 0.1301 0.7500 0.0065  6 Ni 1.90-1.94

Magnetic moment in μB per cell: 0.0


c.
This record from OQMD describes an optimized crystal structure of Ni2C. The functional is PBE.

a = 8.1566 Å, b = 8.1566 Å, c = 8.1566 Å
α = 90.00°, β = 90.00°, γ = 90.00°
Last column: nearest neighbours and their distance in Å.
Space group Fd-3m (No. 227, origin choice 2)
Unique sites:
1 Ni 0.0000 0.0000 0.0000  2 C 1.77
2 C 0.1250 0.1250 0.1250  4 Ni 1.77

Magnetic moment in μB per cell: 0.1


Most stable structure - b; separation to the second - 0.988 eV/atom.


a.
This record from OQMD describes an optimized crystal structure of NiC3. The functional is PBE.

a = 3.1618 Å, b = 3.1618 Å, c = 3.1618 Å
α = 90.00°, β = 90.00°, γ = 90.00°
Last column: nearest neighbours and their distance in Å.
Space group Pm-3m (No. 221)
Unique sites:
1 Ni 0.0000 0.0000 0.0000  12 C 2.24
2 C 0.0000 0.5000 0.5000  8 C 2.24, 4 Ni 2.24

Magnetic moment in μB per cell: 0.0


b.
This record from OQMD describes an optimized crystal structure of NiC3. The functional is PBE.

a = 4.9955 Å, b = 4.9955 Å, c = 4.9955 Å
α = 90.00°, β = 90.00°, γ = 90.00°
Last column: nearest neighbours and their distance in Å.
Space group Fm-3m (No. 225)
Unique sites:
1 Ni 0.0000 0.0000 0.0000  8 C 2.16
2 C 0.0000 0.0000 0.5000  8 C 2.16
3 C 0.2500 0.2500 0.2500  4 Ni 2.16, 4 C 2.16

Magnetic moment in μB per cell: 0.0


Most stable structure - a; separation to the second - 0.018 eV/atom.